Record 1
Sr2Ag3Hg: optimized geometry, PBE-GGA.

Structure (POSCAR):
```
Sr2Ag3Hg
1.0
4.011 0.000 0.000
0.000 4.941 0.000
0.000 0.000 8.435
Sr Ag Hg
2 3 1
Direct
0.000 0.500 0.995 Sr
0.000 0.000 0.506 Sr
0.500 0.000 0.833 Ag
0.500 0.000 0.164 Ag
0.500 0.500 0.671 Ag
0.500 0.500 0.332 Hg
```

Properties
Crystal system ... orthorhombic
V ... 27.86 A^3/atom
DFT formation energy ... -0.3404 eV per atom
Density ... 6.95 g cm⁻³
E above lowest polymorph ... 0 meV per atom
Uncorrected energy ... -2.377 eV per atom


Record 2
NaLaHgTe2: optimized geometry, PBE-GGA.

Structure (POSCAR):
```
NaLaHgTe2
1.0
-5.626 -0.008 -2.354
-2.046 -5.054 4.907
-1.627 4.420 3.874
Na Te Hg La
1 2 1 1
Direct
0.000 0.500 0.000 Na
0.000 0.000 0.500 Te
0.500 0.000 0.000 Te
0.500 0.500 0.500 Hg
0.000 0.000 0.000 La
```

Properties
Crystal system ... tetragonal
V ... 54.57 A^3/atom
Formation energy (no corrections) ... -0.27 eV/atom
Density ... 3.76 g cm⁻³
Uncorrected energy ... -2.835 eV per atom


Record 3
CsTlV2I8: optimized geometry, PBE-GGA.

Structure (POSCAR):
```
CsTlV2I8
1.0
7.781 0.000 0.000
3.891 6.739 0.000
3.891 2.246 11.169
Cs Tl V I
1 1 2 8
Direct
0.500 0.500 0.500 Cs
0.000 0.000 0.000 Tl
0.246 0.246 0.263 V
0.754 0.754 0.737 V
0.169 0.169 0.494 I
0.567 0.307 0.189 I
0.831 0.831 0.506 I
0.937 0.567 0.189 I
0.063 0.433 0.811 I
0.307 0.937 0.189 I
0.693 0.063 0.811 I
0.433 0.693 0.811 I
```

Properties
Crystal system ... trigonal
V ... 48.80 A^3/atom
Formation energy (no corrections) ... -0.64 eV/atom
Density ... 4.12 g cm⁻³
Uncorrected energy ... -3.460 eV per atom


Record 4
Tm3B8Os3: optimized geometry, PBE-GGA.

Structure (POSCAR):
```
Tm3B8Os3
1.0
3.202 0.000 0.000
1.601 7.176 -0.478
1.601 1.494 7.035
Tm B Os
3 8 3
Direct
0.500 0.500 0.500 Tm
0.790 0.210 0.210 Tm
0.210 0.790 0.790 Tm
0.640 0.059 0.661 B
0.360 0.941 0.339 B
0.640 0.661 0.059 B
0.360 0.339 0.941 B
0.801 0.907 0.491 B
0.199 0.093 0.509 B
0.801 0.491 0.907 B
0.199 0.509 0.093 B
0.500 0.000 0.000 Os
0.000 0.756 0.244 Os
0.000 0.244 0.756 Os
```

Properties
Crystal system ... orthorhombic
V ... 11.71 A^3/atom
DFT formation energy ... -0.1431 eV per atom
Density ... 11.79 g cm⁻³
Uncorrected energy ... -7.323 eV per atom


Record 5
CdCoMo2Br: optimized geometry, PBE-GGA.

Structure (POSCAR):
```
CdCoMo2Br
1.0
-0.675 -2.098 -4.912
4.911 1.491 -1.311
1.901 -4.721 1.755
Mo Co Br Cd
2 1 1 1
Direct
0.000 0.000 0.500 Mo
0.500 0.000 0.000 Mo
0.500 0.500 0.500 Co
0.000 0.500 0.000 Br
0.000 0.000 0.000 Cd
```

Properties
Crystal system ... tetragonal
V ... 30.71 A^3/atom
Formation energy (no corrections) ... 2.49 eV/atom
Density ... 4.79 g cm⁻³
Uncorrected energy ... -3.783 eV per atom


Record 6
Sc2BW: optimized geometry, PBE-GGA.

Structure (POSCAR):
```
Sc2BW
1.0
-0.929 -7.948 4.010
1.922 -8.180 3.084
1.292 -6.797 5.678
Sc B W
2 1 1
Direct
0.895 0.895 0.895 Sc
0.105 0.105 0.105 Sc
0.500 0.500 0.500 B
0.000 0.000 0.000 W
```

Properties
Crystal system ... trigonal
V ... 17.19 A^3/atom
DFT formation energy ... 0.5602 eV per atom
Density ... 6.87 g cm⁻³
Uncorrected energy ... -7.513 eV per atom


Question: uncorrected energy of number 6 (Sc2BW)?
Answer: -7.513 eV per atom


Question: uncorrected energy of number 1 (Sr2Ag3Hg)?
Answer: -2.377 eV per atom